# Li4V3Cu3Sb2O16

An optimized crystal structure of Li4V3Cu3Sb2O16 (PBE with a Hubbard U, the Alexandria database).

Properties
Crystal system ... triclinic
Total DFT energy (no corrections) ... -6.202 eV/atom

a b c (Å): 6.075 5.905 9.814
angles (deg): 90.53 86.95 120.43
Site moments in Bohr magnetons follow the coordinates.
Atoms (fractional coordinates):
O: 0.689 0.354 0.609  0.03
O: 0.537 0.990 0.360  -0.01
O: 0.358 0.679 0.117  0.11
O: 0.161 0.842 0.591  0.08
O: 0.798 0.654 0.088  0.04
O: 0.518 0.472 0.845  0.06
O: 0.809 0.153 0.089  0.03
O: 0.060 0.538 0.346  0.15
O: 0.517 0.543 0.361  0.00
O: 0.551 0.028 0.845  -0.04
O: 0.659 0.830 0.608  0.00
O: 0.958 0.487 0.840  -0.01
O: 0.987 0.992 0.292  0.12
O: 0.985 0.984 0.798  0.03
O: 0.306 0.144 0.083  0.11
O: 0.131 0.335 0.595  -0.01
Cu: 0.172 0.832 0.209  0.52
Cu: 0.338 0.164 0.709  0.49
Cu: 0.173 0.339 0.209  0.55
Li: 0.007 0.004 0.481  0.00
Li: 0.327 0.653 0.911  0.00
Li: 0.986 0.993 0.991  0.00
Li: 0.696 0.357 0.402  0.00
Sb: 0.653 0.321 0.992  0.02
Sb: 0.333 0.676 0.485  0.02
V: 0.821 0.650 0.720  1.05
V: 0.652 0.827 0.222  1.09
V: 0.818 0.158 0.711  1.06